[1]
# Tc2OsPb PBE optimized geometry
# calculated density	14.1	g/cm3
# V	17.51	A^3/atom
# energy of formation	222	kJ/mol of formula units
# DFT total energy	-8.34	eV per atom
data_Tc2OsPb
_space_group_name_H-M_alt 'P 1 2/m 1'
_space_group_IT_number 10
_space_group_name_Hall '-P 2y'
_cell_length_a 2.868
_cell_length_b 3.838
_cell_length_c 6.404
_cell_angle_alpha 90.00
_cell_angle_beta 96.46
_cell_angle_gamma 90.00
loop_
_atom_site_label
_atom_site_fract_x
_atom_site_fract_y
_atom_site_fract_z
_atom_site_occupancy
Tc1 0.046 0.000 0.197 1
Os1 0.500 0.500 0.000 1
Pb1 0.500 0.500 0.500 1

---

[2]
# CsCuMo2S8 PBE optimized geometry
# calculated density	3.3	g/cm3
# V	27.30	A^3/atom
# raw formation energy	-0.359	eV/atom
# DFT total energy	-5.33	eV per atom
data_CsCuMo2S8
_space_group_name_H-M_alt 'R -3'
_space_group_IT_number 148
_space_group_name_Hall '-R 3'
_cell_length_a 6.1297
_cell_length_b 6.1297
_cell_length_c 30.2055
_cell_angle_alpha 90.00
_cell_angle_beta 90.00
_cell_angle_gamma 120.00
loop_
_atom_site_label
_atom_site_fract_x
_atom_site_fract_y
_atom_site_fract_z
_atom_site_occupancy
Cs1 0.0000 0.0000 0.0000 1
Cu1 0.0000 0.0000 0.5000 1
Mo1 0.0000 0.0000 0.2380 1
S1 0.0000 0.0000 0.3103 1
S2 0.0033 0.6795 0.5475 1

---

[3]
# MnGePd PBE optimized geometry
# calculated density	7.5	g/cm3
# V	17.38	A^3/atom
# energy of formation	-33	kJ/mol of formula units
# DFT total energy	-6.44	eV per atom
data_MnGePd
_space_group_name_H-M_alt 'F -4 3 m'
_space_group_IT_number 216
_space_group_name_Hall 'F -4 2 3'
_cell_length_a 5.930
_cell_length_b 5.930
_cell_length_c 5.930
_cell_angle_alpha 90.00
_cell_angle_beta 90.00
_cell_angle_gamma 90.00
loop_
_atom_site_label
_atom_site_fract_x
_atom_site_fract_y
_atom_site_fract_z
_atom_site_occupancy
Mn1 0.000 0.000 0.000 1
Ge1 0.000 0.000 0.500 1
Pd1 0.250 0.250 0.750 1

---

[4]
# Y2NbSi2Ru5 PBE optimized geometry
# calculated density	8.4	g/cm3
# V	16.46	A^3/atom
# raw formation energy	-0.643	eV/atom
# DFT total energy	-8.67	eV per atom
data_Y2NbSi2Ru5
_space_group_name_H-M_alt 'P 4/m b m'
_space_group_IT_number 127
_space_group_name_Hall '-P 4 2ab'
_cell_length_a 10.083
_cell_length_b 10.083
_cell_length_c 3.238
_cell_angle_alpha 90.00
_cell_angle_beta 90.00
_cell_angle_gamma 90.00
loop_
_atom_site_label
_atom_site_fract_x
_atom_site_fract_y
_atom_site_fract_z
_atom_site_occupancy
Y1 0.173 0.327 0.000 1
Nb1 0.000 0.000 0.000 1
Si1 0.126 0.626 0.000 1
Ru1 0.000 0.500 0.500 1
Ru2 0.067 0.792 0.500 1

---

[5]
# MgTlReNi2 PBE optimized geometry
# calculated density	8.0	g/cm3
# V	22.07	A^3/atom
# energy of formation	516	kJ/mol of formula units
# DFT total energy	-4.53	eV per atom
data_MgTlReNi2
_space_group_name_H-M_alt 'P 4/m m m'
_space_group_IT_number 123
_space_group_name_Hall '-P 4 2'
_cell_length_a 4.597
_cell_length_b 4.597
_cell_length_c 5.222
_cell_angle_alpha 90.00
_cell_angle_beta 90.00
_cell_angle_gamma 90.00
loop_
_atom_site_label
_atom_site_fract_x
_atom_site_fract_y
_atom_site_fract_z
_atom_site_occupancy
Mg1 0.000 0.000 0.000 1
Tl1 0.500 0.500 0.000 1
Re1 0.500 0.500 0.500 1
Ni1 0.000 0.500 0.500 1

---

[6]
# Co6NiRh PBE optimized geometry
# E above lowest polymorph	2.46	kJ/mol of atoms
# calculated density	9.3	g/cm3
# V	11.48	A^3/atom
# energy of formation	26	kJ/mol of formula units
# DFT total energy	-6.94	eV per atom
data_Co6NiRh
_space_group_name_H-M_alt 'A m m 2'
_space_group_IT_number 38
_space_group_name_Hall 'A 2 -2'
_cell_length_a 3.566
_cell_length_b 7.188
_cell_length_c 7.163
_cell_angle_alpha 90.00
_cell_angle_beta 90.00
_cell_angle_gamma 90.00
loop_
_atom_site_label
_atom_site_fract_x
_atom_site_fract_y
_atom_site_fract_z
_atom_site_occupancy
Co1 0.000 0.000 0.000 1
Co2 0.000 0.242 0.758 1
Co3 0.500 0.000 0.757 1
Co4 0.500 0.249 0.007 1
Ni1 0.000 0.000 0.515 1
Rh1 0.500 0.000 0.257 1

---

[7]
# CrCdRe2 PBE optimized geometry
# calculated density	14.3	g/cm3
# V	15.59	A^3/atom
# energy of formation	163	kJ/mol of formula units
# DFT total energy	-8.44	eV per atom
data_CrCdRe2
_space_group_name_H-M_alt 'C m m 2'
_space_group_IT_number 35
_space_group_name_Hall 'C 2 -2'
_cell_length_a 3.052
_cell_length_b 4.483
_cell_length_c 9.113
_cell_angle_alpha 90.00
_cell_angle_beta 90.00
_cell_angle_gamma 90.00
loop_
_atom_site_label
_atom_site_fract_x
_atom_site_fract_y
_atom_site_fract_z
_atom_site_occupancy
Cr1 0.000 0.000 0.000 1
Cd1 0.000 0.500 0.263 1
Re1 0.000 0.000 0.544 1
Re2 0.000 0.500 0.786 1

---

[8]
# ErLuScPt PBE optimized geometry
# calculated density	10.8	g/cm3
# V	22.43	A^3/atom
# energy of formation	-164	kJ/mol of formula units
# DFT total energy	-5.79	eV per atom
data_ErLuScPt
_space_group_name_H-M_alt 'F -4 3 m'
_space_group_IT_number 216
_space_group_name_Hall 'F -4 2 3'
_cell_length_a 7.107
_cell_length_b 7.107
_cell_length_c 7.107
_cell_angle_alpha 90.00
_cell_angle_beta 90.00
_cell_angle_gamma 90.00
loop_
_atom_site_label
_atom_site_fract_x
_atom_site_fract_y
_atom_site_fract_z
_atom_site_occupancy
Er1 0.000 0.000 0.000 1
Lu1 0.000 0.000 0.500 1
Sc1 0.250 0.250 0.750 1
Pt1 0.250 0.250 0.250 1

---

| no. | magnetic moment (μB/f.u.) |
| --- | --- |
| 1 | 0.0 |
| 2 | 0.0 |
| 3 | 3.5 |
| 4 | 0.0 |
| 5 | 0.0 |
| 6 | 11.7 |
| 7 | 0.0 |
| 8 | 1.2 |